[1]
A geometry-optimized Tl2Cd2RhO6 structure, computed with PBE.

Lattice parameters (Å, degrees): 5.8950 5.8950 5.7834 97.19 97.19 118.73
With the nearest neighbours (Å) after each atom.
Positions (direct):
1 Tl 0.1607 0.8393 0.0000  6 O 2.38-2.51
2 Tl 0.8393 0.1607 0.0000  6 O 2.38-2.51
3 Cd 0.3483 0.6517 0.5000  4 O 2.22-2.43
4 Cd 0.6517 0.3483 0.5000  4 O 2.22-2.43
5 Rh 0.5000 0.5000 0.0000  6 O 2.04-2.07
6 O 0.1713 0.4710 0.7932  1 Rh 2.07, 1 Cd 2.22
7 O 0.2725 0.2725 0.2099  1 Rh 2.04
8 O 0.4710 0.1713 0.7932  1 Rh 2.07, 1 Cd 2.22
9 O 0.5290 0.8287 0.2068  1 Rh 2.07, 1 Cd 2.22
10 O 0.7275 0.7275 0.7901  1 Rh 2.04
11 O 0.8287 0.5290 0.2068  1 Rh 2.07, 1 Cd 2.22

The calculation puts the formation energy from raw total energies at -0.720 eV/atom.


[2]
A geometry-optimized TmCd2RhO6 structure, computed with PBE.

Lattice parameters (Å, degrees): 5.5777 5.6778 9.7518 90.00 124.69 90.00
With the nearest neighbours (Å) after each atom.
Positions (direct):
1 Tm 0.0000 0.0000 0.0000  6 O 2.20-2.23
2 Tm 0.0000 0.5000 0.5000  6 O 2.20-2.23
3 Cd 0.2561 0.0459 0.7486  4 O 2.29-2.37
4 Cd 0.2561 0.4541 0.2486  4 O 2.29-2.37
5 Cd 0.7439 0.5459 0.7514  4 O 2.29-2.37
6 Cd 0.7439 0.9541 0.2514  4 O 2.29-2.37
7 Rh 0.5000 0.0000 0.5000  6 O 1.98-2.00
8 Rh 0.5000 0.5000 0.0000  6 O 1.98-2.00
9 O 0.1556 0.0532 0.2652  1 Rh 2.00, 1 Tm 2.23
10 O 0.1556 0.4468 0.7652  1 Rh 2.00, 1 Tm 2.23
11 O 0.2626 0.6802 0.0561  1 Rh 1.98, 1 Tm 2.20
12 O 0.2626 0.8198 0.5561  1 Rh 1.98, 1 Tm 2.20
13 O 0.3887 0.2084 0.0617  1 Rh 1.98
14 O 0.3887 0.2916 0.5617  1 Rh 1.98
15 O 0.6113 0.7084 0.4383  1 Rh 1.98
16 O 0.6113 0.7916 0.9383  1 Rh 1.98
17 O 0.7374 0.1802 0.4439  1 Rh 1.98, 1 Tm 2.20
18 O 0.7374 0.3198 0.9439  1 Rh 1.98, 1 Tm 2.20
19 O 0.8444 0.5532 0.2348  1 Rh 2.00, 1 Tm 2.23
20 O 0.8444 0.9468 0.7348  1 Rh 2.00, 1 Tm 2.23

The calculation puts the formation energy from raw total energies at -1.488 eV/atom.


[3]
A geometry-optimized UCdRhO6 structure, computed with PBE.

Lattice parameters (Å, degrees): 5.3740 5.3740 9.8529 90.00 90.00 120.00
With the nearest neighbours (Å) after each atom.
Positions (direct):
1 U 0.3333 0.6667 0.2500  6 O 2.09
2 U 0.6667 0.3333 0.7500  6 O 2.09
3 Cd 0.0000 0.0000 0.0000  6 O 2.34
4 Cd 0.0000 0.0000 0.5000  6 O 2.34
5 Rh 0.3333 0.6667 0.7500  6 O 2.03
6 Rh 0.6667 0.3333 0.2500  6 O 2.03
7 O 0.0093 0.3589 0.6377  1 Rh 2.03, 1 U 2.09
8 O 0.0093 0.6504 0.8623  1 Rh 2.03, 1 U 2.09
9 O 0.3496 0.3589 0.8623  1 Rh 2.03, 1 U 2.09
10 O 0.3496 0.9907 0.6377  1 Rh 2.03, 1 U 2.09
11 O 0.3589 0.0093 0.1377  1 Rh 2.03, 1 U 2.09
12 O 0.3589 0.3496 0.3623  1 Rh 2.03, 1 U 2.09
13 O 0.6411 0.6504 0.6377  1 Rh 2.03, 1 U 2.09
14 O 0.6411 0.9907 0.8623  1 Rh 2.03, 1 U 2.09
15 O 0.6504 0.0093 0.3623  1 Rh 2.03, 1 U 2.09
16 O 0.6504 0.6411 0.1377  1 Rh 2.03, 1 U 2.09
17 O 0.9907 0.3496 0.1377  1 Rh 2.03, 1 U 2.09
18 O 0.9907 0.6411 0.3623  1 Rh 2.03, 1 U 2.09

The calculation puts the formation energy from raw total energies at -1.814 eV/atom.